(1)
Below is a geometry-optimized CaCuCl structure, with properties calculated at the PBE-GGA level.

The value obtained for the formation energy from raw total energies is -0.7904 eV per atom. The density comes out at 2.7 g/cm³. The magnetization comes out at 0.00 μB/f.u.

The space group is P3m1 (No. 156) and the conventional cell measures 3.9657, 3.9657 and 6.2188 Å, with angles of 90.00, 90.00 and 120.00 degrees. The inequivalent atoms are Ca at (0.0000, 0.0000, 0.0000), Cu at (0.6667, 0.3333, 0.7000) and Cl at (0.3333, 0.6667, 0.2462).


(2)
Below is a geometry-optimized CaCuCl4 structure, with properties calculated at the PBE-GGA level.

The value obtained for the formation energy from raw total energies is -0.0811 eV per atom. The density comes out at 2.8 g/cm³. The magnetization comes out at 1.60 μB/f.u.

The space group is F-43m (No. 216) and the conventional cell measures 8.382, 8.382 and 8.382 Å, with angles of 90.00, 90.00 and 90.00 degrees. The inequivalent atoms are Ca at (0.000, 0.000, 0.000), Cu at (0.250, 0.250, 0.250) and Cl at (0.125, 0.125, 0.625).


(3)
Below is a geometry-optimized CaCu2Cl structure, with properties calculated at the PBE-GGA level.

The value obtained for the formation energy from raw total energies is -0.5464 eV per atom. The density comes out at 3.9 g/cm³. The magnetization comes out at 0.00 μB/f.u.

The space group is P4mm (No. 99) and the conventional cell measures 3.462, 3.462 and 7.271 Å, with angles of 90.00, 90.00 and 90.00 degrees. The inequivalent atoms are Ca at (0.000, 0.000, 0.000), Cu at (0.000, 0.000, 0.638), Cu at (0.500, 0.500, 0.695) and Cl at (0.500, 0.500, 0.185).